This record from Alexandria via LeMat-Bulk describes a relaxed ScPdSN2 crystal. The functional is GGA-PBEsol.

Properties
ρ = 4.4 Mg/m³
E_form (uncorrected) = 4.1 eV per formula unit
raw total energy = -29.9 eV/cell

Cell lengths 3.9863, 3.9863, 5.0273 Å; angles 90.00, 90.00, 90.00 degrees
Fractional positions:
Sc1 0.0000 0.0000 0.0000
Pd1 0.5000 0.5000 0.5000
S1 0.0000 0.0000 0.5000
N1 0.0000 0.5000 0.0000
N2 0.5000 0.0000 0.0000

This record from Alexandria via LeMat-Bulk describes a relaxed SnPdS2N crystal. The functional is GGA-PBEsol.

Properties
ρ = 5.2 Mg/m³
E_form (uncorrected) = 5.3 eV per formula unit
raw total energy = -22.2 eV/cell

Cell lengths 4.9718, 4.9718, 3.9427 Å; angles 90.00, 90.00, 90.00 degrees
Fractional positions:
Sn1 0.0000 0.0000 0.0000
Pd1 0.5000 0.5000 0.5000
S1 0.0000 0.5000 0.0000
S2 0.5000 0.0000 0.0000
N1 0.0000 0.0000 0.5000

This record from Alexandria via LeMat-Bulk describes a relaxed TcPdSN2 crystal. The functional is GGA-PBEsol.

Properties
ρ = 6.3 Mg/m³
E_form (uncorrected) = 8.4 eV per formula unit
raw total energy = -30.3 eV/cell

Cell lengths 3.8142, 3.8142, 4.7800 Å; angles 90.00, 90.00, 90.00 degrees
Fractional positions:
Tc1 0.0000 0.0000 0.0000
Pd1 0.5000 0.5000 0.5000
S1 0.5000 0.5000 0.0000
N1 0.0000 0.5000 0.5000
N2 0.5000 0.0000 0.5000